Crystalline Mo2O at its relaxed geometry, computed with PBE+U.

Lattice parameters (Å, degrees): 5.5473 5.5473 5.5473 90.00 90.00 90.00
With the nearest neighbours (Å) after each atom.
Space group Fm-3m (No. 225)
Symmetry-distinct sites (fractional):
Mo (0.2500, 0.2500, 0.2500) (multiplicity 8)  4 O 2.40
O (0.0000, 0.0000, 0.0000) (multiplicity 4)  8 Mo 2.40

calculated volume = 170.70 Å³ per cell
Fermi-level density of states = 0.870 states/eV per atom
magnetic moment = 1.000 μB/atom
E = -5.072 eV/atom